# 1
The following is a DFT calculation (PBE) of BaSnSbIr2 after structural relaxation.

## Properties
magnetic moment: 0.00 Bohr magnetons per cell
symmetry: P2_1/m (11)
energy: -6.00 eV/atom

Unit cell a=4.763 b=4.630 c=10.827 alpha=90.00 beta=91.65 gamma=90.00
Atoms (fractional coordinates):
Ba1 0.740 0.750 0.247
Ir1 0.239 0.250 0.370
Sb1 0.790 0.750 0.880
Ir2 0.692 0.250 0.995
Sb2 0.210 0.250 0.120
Sn1 0.748 0.250 0.498
Ir3 0.308 0.750 0.005
Ir4 0.761 0.750 0.630
Sn2 0.252 0.750 0.502
Ba2 0.260 0.250 0.753

# 2
The following is a DFT calculation (PBE) of Ho3Ga9Pd2 after structural relaxation.

## Properties
magnetic moment: 0.01 Bohr magnetons per cell
symmetry: Immm (71)
energy: -4.31 eV/atom

Unit cell a=8.140 b=8.140 c=8.140 alpha=149.50 beta=108.85 gamma=79.35
Atoms (fractional coordinates):
Ho1 0.200 0.200 0.000
Pd1 0.184 0.000 0.184
Ga1 0.356 0.638 0.718
Ga2 0.522 0.156 0.367
Ho2 0.500 0.500 0.000
Ga3 0.478 0.844 0.633
Ga4 0.211 0.844 0.367
Pd2 0.816 0.000 0.816
Ga5 0.080 0.362 0.718
Ho3 0.800 0.800 0.000
Ga6 0.000 0.500 0.500
Ga7 0.920 0.638 0.282
Ga8 0.644 0.362 0.282
Ga9 0.789 0.156 0.633

# 3
The following is a DFT calculation (PBE) of PrMg after structural relaxation.

## Properties
magnetic moment: 0.00 Bohr magnetons per cell
relative energy among the computed polymorphs: 0.000 eV/atom
symmetry: Pm-3m (221)

Unit cell a=3.911 b=3.911 c=3.911 alpha=90.00 beta=90.00 gamma=90.00
Atoms (fractional coordinates):
Pr1 0.500 0.500 0.500
Mg1 0.000 0.000 0.000

# 4
The following is a DFT calculation (PBE) of LiInCuW after structural relaxation.

## Properties
magnetic moment: 2.18 Bohr magnetons per cell
relative energy among the computed polymorphs: 0.141 eV/atom
symmetry: F-43m (216)

Unit cell a=4.505 b=4.505 c=4.505 alpha=60.00 beta=60.00 gamma=60.00
Atoms (fractional coordinates):
W1 0.250 0.250 0.250
Li1 0.500 0.500 0.500
In1 0.000 0.000 0.000
Cu1 0.750 0.750 0.750

# 5
The following is a DFT calculation (PBE) of KFe2Se3 after structural relaxation.

## Properties
magnetic moment: 10.00 Bohr magnetons per cell
symmetry: Cmcm (63)
energy: -5.20 eV/atom

Unit cell a=7.366 b=7.366 c=5.452 alpha=90.00 beta=90.00 gamma=101.48
Last column: magnetic moment on the atom in μB.
Atoms (fractional coordinates):
Se1 0.865 0.135 0.750  -0.02
Se2 0.169 0.397 0.250  0.04
Se3 0.831 0.603 0.750  0.04
Se4 0.397 0.169 0.750  0.07
Se5 0.135 0.865 0.250  -0.02
Se6 0.603 0.831 0.250  0.07
Fe1 0.136 0.136 0.000  2.26
Fe2 0.136 0.136 0.500  2.29
K1 0.334 0.666 0.750  0.01
Fe3 0.864 0.864 0.000  2.26
K2 0.666 0.334 0.250  0.01
Fe4 0.864 0.864 0.500  2.29

# 6
The following is a DFT calculation (PBE) of Pr2CoSn6 after structural relaxation.

## Properties
magnetic moment: 0.00 Bohr magnetons per cell
symmetry: Cmmm (65)
energy: -4.98 eV/atom

Unit cell a=11.954 b=11.954 c=4.512 alpha=90.00 beta=90.00 gamma=158.80
Atoms (fractional coordinates):
Sn1 0.064 0.936 0.500
Pr1 0.325 0.675 0.500
Sn2 0.565 0.435 0.000
Pr2 0.675 0.325 0.500
Sn3 0.936 0.064 0.500
Sn4 0.792 0.208 0.000
Sn5 0.435 0.565 0.000
Co1 0.000 0.000 0.000
Sn6 0.208 0.792 0.000

# 7
The following is a DFT calculation (PBE) of MgZr4HgC2 after structural relaxation.

## Properties
magnetic moment: 0.12 Bohr magnetons per cell
symmetry: P-6m2 (187)
energy: -7.32 eV/atom

Unit cell a=3.348 b=3.348 c=15.453 alpha=90.00 beta=90.00 gamma=120.00
Atoms (fractional coordinates):
Zr1 0.000 0.000 0.324
C1 0.667 0.333 0.757
Hg1 0.000 0.000 0.000
Zr2 0.333 0.667 0.838
C2 0.667 0.333 0.243
Zr3 0.000 0.000 0.676
Zr4 0.333 0.667 0.162
Mg1 0.333 0.667 0.500

# 8
The following is a DFT calculation (PBE) of ZnRe3N after structural relaxation.

## Properties
magnetic moment: 0.02 Bohr magnetons per cell
symmetry: Pm-3m (221)
energy: -8.95 eV/atom

Unit cell a=4.054 b=4.054 c=4.054 alpha=90.00 beta=90.00 gamma=90.00
Atoms (fractional coordinates):
Re1 0.500 0.500 0.000
Zn1 0.000 0.000 0.000
N1 0.500 0.500 0.500
Re2 0.000 0.500 0.500
Re3 0.500 0.000 0.500

# 9
The following is a DFT calculation (PBE) of PrCdPd after structural relaxation.

## Properties
magnetic moment: 0.03 Bohr magnetons per cell
symmetry: P-62m (189)
energy of formation from the pure elements: -0.74 eV/f.u.

Unit cell a=8.348 b=8.348 c=3.389 alpha=90.00 beta=90.00 gamma=120.00
Atoms (fractional coordinates):
Pr1 0.000 0.298 0.000
Pd1 0.000 0.633 0.500
Cd1 0.000 0.000 0.500
Pd2 0.367 0.367 0.500
Cd2 0.333 0.667 0.000
Pd3 0.633 0.000 0.500
Cd3 0.667 0.333 0.000
Pr2 0.298 0.000 0.000
Pr3 0.702 0.702 0.000

# 10
The following is a DFT calculation (PBE) of Pr3SmSi4 after structural relaxation.

## Properties
magnetic moment: 0.03 Bohr magnetons per cell
symmetry: Pm (6)
energy: -5.85 eV/atom

Unit cell a=5.941 b=3.953 c=8.276 alpha=90.00 beta=90.33 gamma=90.00
Atoms (fractional coordinates):
Si1 0.620 0.000 0.533
Pr1 0.613 0.500 0.821
Si2 0.124 0.500 0.967
Sm1 0.385 0.000 0.180
Si3 0.879 0.000 0.037
Pr2 0.114 0.000 0.679
Pr3 0.886 0.500 0.320
Si4 0.379 0.500 0.462

# 11
The following is a DFT calculation (PBE) of KNbBr3 after structural relaxation.

## Properties
magnetic moment: 12.00 Bohr magnetons per cell
relative energy among the computed polymorphs: 0.178 eV/atom
symmetry: Pnma (62)

Unit cell a=7.207 b=14.132 c=6.606 alpha=90.00 beta=90.00 gamma=90.00
Last column: magnetic moment on the atom in μB.
Atoms (fractional coordinates):
Nb1 0.593 0.250 0.971  2.36
Nb2 0.093 0.250 0.529  2.34
K1 0.500 0.000 0.500  0.00
Br1 0.326 0.131 0.833  0.01
Br2 0.826 0.369 0.667  0.01
Br3 0.424 0.250 0.338  -0.01
Br4 0.174 0.631 0.333  0.01
Nb3 0.907 0.750 0.471  2.34
K2 0.500 0.500 0.500  0.00
Br5 0.174 0.869 0.333  0.01
K3 0.000 0.500 0.000  0.00
Br6 0.924 0.250 0.162  -0.01
Br7 0.076 0.750 0.838  -0.01
Br8 0.576 0.750 0.662  -0.01
Br9 0.674 0.869 0.167  0.01
Br10 0.326 0.369 0.833  0.01
Nb4 0.407 0.750 0.029  2.36
Br11 0.674 0.631 0.167  0.01
K4 0.000 0.000 0.000  0.00
Br12 0.826 0.131 0.667  0.01

# 12
The following is a DFT calculation (PBE) of SmAu after structural relaxation.

## Properties
magnetic moment: 0.02 Bohr magnetons per cell
symmetry: P6_3/mmc (194)
energy of formation from the pure elements: -1.37 eV/f.u.

Unit cell a=4.350 b=4.350 c=6.644 alpha=90.00 beta=90.00 gamma=120.00
Atoms (fractional coordinates):
Sm1 0.333 0.667 0.750
Au1 0.000 0.000 0.000
Au2 0.000 0.000 0.500
Sm2 0.667 0.333 0.250

# 13
The following is a DFT calculation (PBE) of Tm6TlFe2 after structural relaxation.

## Properties
magnetic moment: 0.59 Bohr magnetons per cell
symmetry: Immm (71)
energy: -5.25 eV/atom

Unit cell a=8.269 b=8.269 c=8.269 alpha=111.75 beta=109.80 gamma=106.90
Last column: magnetic moment on the atom in μB.
Atoms (fractional coordinates):
Tm1 0.686 0.984 0.299  0.03
Tm2 0.191 0.292 0.482  0.09
Fe1 0.613 0.000 0.613  0.01
Tm3 0.314 0.613 0.299  0.03
Tm4 0.191 0.708 0.899  0.09
Fe2 0.108 0.608 0.500  -0.68
Tm5 0.314 0.016 0.701  0.03
Tm6 0.992 0.772 0.220  0.05
Tl1 0.500 0.500 0.000  -0.01
Fe3 0.892 0.392 0.500  -0.68
Tm7 0.008 0.228 0.780  0.05
Tm8 0.686 0.387 0.701  0.03
Tm9 0.809 0.292 0.101  0.09
Fe4 0.387 0.000 0.387  0.01
Tm10 0.809 0.708 0.518  0.09
Tl2 0.000 0.000 0.000  0.00
Tm11 0.553 0.772 0.780  0.05
Tm12 0.447 0.228 0.220  0.05

# 14
The following is a DFT calculation (PBE) of Dy2YAl5 after structural relaxation.

## Properties
magnetic moment: 0.00 Bohr magnetons per cell
symmetry: Amm2 (38)
energy: -4.59 eV/atom

Unit cell a=4.804 b=6.395 c=6.395 alpha=62.48 beta=90.00 gamma=90.00
Atoms (fractional coordinates):
Al1 0.500 0.859 0.859
Al2 0.500 0.841 0.310
Dy1 0.500 0.349 0.349
Al3 0.000 0.695 0.133
Dy2 0.000 0.656 0.656
Y1 0.000 0.158 0.158
Al4 0.000 0.133 0.695
Al5 0.500 0.310 0.841

# 15
The following is a DFT calculation (PBE) of HfZr2Al3NiAu2 after structural relaxation.

## Properties
magnetic moment: 0.01 Bohr magnetons per cell
symmetry: Amm2 (38)
energy: -6.24 eV/atom

Unit cell a=4.054 b=6.745 c=6.745 alpha=119.40 beta=90.00 gamma=90.00
Atoms (fractional coordinates):
Ni1 0.000 0.006 0.006
Al1 0.500 0.765 0.765
Au1 0.500 0.662 0.334
Zr1 0.000 0.599 0.000
Au2 0.500 0.334 0.662
Zr2 0.000 0.000 0.599
Al2 0.500 0.998 0.237
Al3 0.500 0.237 0.998
Hf1 0.000 0.399 0.399

# 16
The following is a DFT calculation (PBE) of HfBeCdPt after structural relaxation.

## Properties
magnetic moment: 0.00 Bohr magnetons per cell
relative energy among the computed polymorphs: 0.206 eV/atom
symmetry: F-43m (216)

Unit cell a=4.503 b=4.503 c=4.503 alpha=60.00 beta=60.00 gamma=60.00
Atoms (fractional coordinates):
Be1 0.750 0.750 0.750
Pt1 0.500 0.500 0.500
Hf1 0.000 0.000 0.000
Cd1 0.250 0.250 0.250

# 17
The following is a DFT calculation (PBE) of LaGa2Hg after structural relaxation.

## Properties
magnetic moment: 0.01 Bohr magnetons per cell
symmetry: Amm2 (38)
energy: -3.32 eV/atom

Unit cell a=4.661 b=6.878 c=6.878 alpha=58.77 beta=90.00 gamma=90.00
Atoms (fractional coordinates):
Ga1 0.000 0.851 0.851
La1 0.500 0.676 0.676
Ga2 0.500 0.719 0.135
Ga3 0.500 0.135 0.719
Hg1 0.000 0.310 0.838
Hg2 0.000 0.838 0.310
Ga4 0.500 0.140 0.140
La2 0.000 0.331 0.331

# 18
The following is a DFT calculation (PBE) of NbSbAsO after structural relaxation.

## Properties
magnetic moment: 0.05 Bohr magnetons per cell
relative energy among the computed polymorphs: 0.312 eV/atom
symmetry: P4/nmm (129)

Unit cell a=3.876 b=3.876 c=9.537 alpha=90.00 beta=90.00 gamma=90.00
Atoms (fractional coordinates):
As1 0.000 0.500 0.301
Nb1 0.000 0.000 0.500
As2 0.500 0.000 0.699
O1 0.500 0.500 0.000
Nb2 0.500 0.500 0.500
O2 0.000 0.000 0.000
Sb1 0.000 0.500 0.872
Sb2 0.500 0.000 0.128

# 19
The following is a DFT calculation (PBE) of PrYSi2Mo2C after structural relaxation.

## Properties
magnetic moment: 0.01 Bohr magnetons per cell
symmetry: Cm (8)
energy: -8.12 eV/atom

Unit cell a=5.935 b=5.935 c=7.281 alpha=123.62 beta=123.62 gamma=38.26
Atoms (fractional coordinates):
Si1 0.866 0.866 0.327
Y1 0.574 0.574 0.295
C1 0.003 0.003 0.009
Mo1 0.795 0.795 0.920
Mo2 0.206 0.206 0.083
Pr1 0.423 0.423 0.699
Si2 0.133 0.133 0.668

# 20
The following is a DFT calculation (PBE) of CoW2 after structural relaxation.

## Properties
magnetic moment: 9.05 Bohr magnetons per cell
relative energy among the computed polymorphs: 0.808 eV/atom
symmetry: P6_3/mmc (194)
energy of formation from the pure elements: 2.46 eV/f.u.

Unit cell a=5.170 b=5.170 c=16.706 alpha=90.00 beta=90.00 gamma=120.00
Last column: magnetic moment on the atom in μB.
Atoms (fractional coordinates):
W1 0.837 0.163 0.750  -0.02
W2 0.674 0.837 0.250  0.04
Co1 0.667 0.333 0.344  1.28
W3 0.500 0.000 0.000  -0.02
W4 0.333 0.667 0.375  -0.03
W5 0.333 0.667 0.125  -0.03
W6 0.837 0.674 0.750  0.01
W7 0.326 0.163 0.750  0.04
W8 0.000 0.500 0.500  0.00
Co2 0.667 0.333 0.156  1.27
W9 0.667 0.333 0.875  -0.03
Co3 0.000 0.000 0.593  1.22
W10 0.163 0.326 0.250  0.01
W11 0.500 0.000 0.500  -0.03
W12 0.667 0.333 0.625  -0.03
W13 0.163 0.837 0.250  -0.02
Co4 0.000 0.000 0.093  1.22
Co5 0.000 0.000 0.907  1.22
W14 0.000 0.500 0.000  0.00
Co6 0.000 0.000 0.407  1.22
W15 0.500 0.500 0.500  -0.03
Co7 0.333 0.667 0.844  1.27
W16 0.500 0.500 0.000  -0.03
Co8 0.333 0.667 0.656  1.28

What did we get for mass density? Answer: 10.61; 8.72; 4.59; 9.48; 4.44; 7.50; 6.80; 15.90; 8.76; 5.86; 3.67; 10.60; 10.16; 5.23; 9.24; 12.73; 8.44; 7.08; 6.32; 14.66 g/cm³, in the order shown.